The following is a DFT calculation (GGA-PBE) of an optimized crystal structure of IrW2Au.

Computed properties:
- total magnetic moment (μB/f.u.) = 0.0
- polymorph energy (0 for the lowest one) (eV/atom) = 0.1074
- energy of formation (eV/atom) = 0.209
- total energy (eV per atom) = -9.302
- SG = I4/mmm, No. 139
- theoretical density (Mg/m³) = 19.8

abc: 5.014 5.014 5.014
angles: 134.39 134.39 66.48
Atoms (fractional coordinates):
Au (0.250, 0.750, 0.500)
Ir (0.750, 0.250, 0.500)
W (0.000, 0.000, 0.000)
W (0.500, 0.500, 0.000)